[1]
A plane-wave DFT calculation with PBEsol was carried out for a relaxed OsSe2Br crystal.

Cell and atoms, written as POSCAR:
```
OsSe2Br
1.0
3.230 0.000 0.000
-1.615 3.406 0.068
0.000 -0.640 7.932
Br Os Se
1 1 2
direct
0.473 0.946 0.574
0.785 0.570 0.778
0.104 0.209 0.927
0.138 0.275 0.222
```

Final energy = -20.52 eV for the cell shown
Energy relative to the elements, uncorrected = 0.32 eV/atom
SG = Cm (8)
Total magnetic moment = 0.000 μB/f.u.

***

[2]
A plane-wave DFT calculation with PBEsol was carried out for a relaxed OsSeBr2 crystal.

Cell and atoms, written as POSCAR:
```
OsSeBr2
1.0
3.655 0.000 0.000
1.828 3.166 0.000
1.828 1.055 7.705
Br Os Se
2 1 1
direct
0.993 0.993 0.022
0.775 0.775 0.675
0.508 0.508 0.476
0.224 0.224 0.328
```

Final energy = -19.05 eV for the cell shown
Energy relative to the elements, uncorrected = 0.19 eV/atom
SG = R3m (160)
Total magnetic moment = 0.003 μB/f.u.

***

[3]
A plane-wave DFT calculation with PBEsol was carried out for a relaxed OsSe2Br12 crystal.

Cell and atoms, written as POSCAR:
```
OsSe2Br12
1.0
6.448 -0.056 -0.050
2.579 8.540 0.118
2.579 1.024 8.480
Os Se Br
1 2 12
direct
0.000 0.000 0.000
0.259 0.722 0.722
0.741 0.278 0.278
0.254 0.741 0.047
0.254 0.047 0.741
0.746 0.259 0.953
0.746 0.953 0.259
0.184 0.467 0.788
0.184 0.788 0.467
0.816 0.533 0.212
0.816 0.212 0.533
0.812 0.873 0.873
0.188 0.127 0.127
0.344 0.352 0.352
0.656 0.648 0.648
```

Final energy = -44.07 eV for the cell shown
Energy relative to the elements, uncorrected = -0.11 eV/atom
SG = C2/m (12)
Total magnetic moment = 2.016 μB/f.u.

***

[4]
A plane-wave DFT calculation with PBEsol was carried out for a relaxed OsSeBr crystal.

Cell and atoms, written as POSCAR:
```
OsSeBr
1.0
3.048 0.000 0.000
0.000 3.048 0.000
-1.524 -1.524 6.391
Br Os Se
1 1 1
direct
0.030 0.030 0.061
0.683 0.683 0.366
0.286 0.286 0.573
```

Final energy = -16.53 eV for the cell shown
Energy relative to the elements, uncorrected = 0.47 eV/atom
SG = I4mm (107)
Total magnetic moment = 0.001 μB/f.u.

***

Among the records above, which one has the lowest total magnetic moment?
OsSe2Br